Mg2Ir2Rh15: relaxed, PBE.

Values from the calculation:
Formation energy from the elements   29.4 kJ per mole of atoms

Lattice parameters (Å, degrees): 6.779 6.779 6.779 79.77 79.77 79.77
Atoms (fractional coordinates):
1 Ir 0.718 0.718 0.718
2 Rh 0.000 0.000 0.500
3 Rh 0.838 0.350 0.350
4 Rh 0.500 0.000 0.000
5 Rh 0.678 0.322 0.000
6 Rh 0.000 0.500 0.000
7 Rh 0.000 0.322 0.678
8 Rh 0.350 0.350 0.838
9 Rh 0.350 0.838 0.350
10 Ir 0.282 0.282 0.282
11 Rh 0.000 0.678 0.322
12 Mg 0.905 0.905 0.905
13 Mg 0.095 0.095 0.095
14 Rh 0.650 0.162 0.650
15 Rh 0.162 0.650 0.650
16 Rh 0.650 0.650 0.162
17 Rh 0.322 0.000 0.678
18 Rh 0.322 0.678 0.000
19 Rh 0.678 0.000 0.322